## EuBi2Au (PBE)

Data for EuBi2Au after structural relaxation.

Cell lengths 10.804, 10.804, 10.804 Å; angles 20.04, 20.04, 20.04 degrees
Fractional positions:
Eu1 0.000 0.000 0.000
Bi1 0.104 0.104 0.104
Bi2 0.896 0.896 0.896
Au1 0.500 0.500 0.500

## Properties
* space-group type: R-3m, No. 166
* volume: 129.5 Å³ per cell
* polymorph energy (0 for the lowest one): 185.5 kJ/mol of formula units
* calculated formation energy: 0.02 eV/atom